Computed, not measured: crystalline TiNbBiO6 at its relaxed geometry at the PBEsol level of DFT.

## Properties
The value obtained for the total moment is 0.0 μB/f.u. Its space group is P1 (1). As for the total energy: -8.49 eV/atom.

Cell lengths 5.3087, 6.8893, 7.5875 Å; angles 67.91, 69.83, 81.92 degrees
Closest atoms and distances in Å follow each position.
Positions (direct):
Ti 0.0000 0.0000 0.0000  4 O 1.82-2.00
Ti 0.4861 0.9909 0.5170  4 O 1.83-2.04
Nb 0.4058 0.2244 0.0761  4 O 1.88-1.99
Nb 0.9095 0.2345 0.5618  4 O 1.88-2.00
Bi 0.4787 0.6402 0.2827  6 O 2.28-2.51
Bi 0.9371 0.6174 0.7850  4 O 2.21-2.40
O 0.0428 0.5050 0.4704  1 Nb 1.88
O 0.1216 0.2973 0.9674  1 Nb 1.88
O 0.1848 0.0604 0.7186  2 Ti 1.92-1.94, 1 Nb 2.15
O 0.2146 0.1528 0.3639  2 Nb 1.96-1.97, 1 Ti 2.10
O 0.2717 0.9231 0.1088  1 Ti 1.82
O 0.3561 0.7292 0.5946  1 Ti 1.83
O 0.4927 0.4898 0.0556  1 Nb 1.89
O 0.6310 0.2966 0.4447  1 Nb 1.90
O 0.6712 0.0068 0.2279  2 Ti 2.00-2.04, 1 Nb 2.19
O 0.7281 0.2151 0.8467  2 Nb 1.99-2.00, 1 Ti 2.21
O 0.7595 0.9279 0.6291  1 Ti 1.85
O 0.8964 0.7443 0.0214  1 Ti 1.85